Entry from Alexandria via LeMat-Bulk: a geometry-optimized Tb2Ni12B3Rh structure (PBE).

The structure in extended XYZ format:
```
18
Lattice="-4.0856 5.1394 -2.0370 -2.4601 -0.0419 -6.4188 -6.6849 -1.2523 -0.9991" Properties=species:S:1:pos:R:3 pbc="T T T"
Ni -7.1970 -0.3132 -5.6802
Ni -10.3108 3.3073 -5.4551
Ni -6.0337 4.1584 -3.7747
Ni -8.1861 2.8397 -3.0138
Ni -7.6154 0.2690 -3.1431
Ni -4.6542 0.0410 -1.7751
Ni -9.6435 1.1804 -7.2538
Ni -3.5872 2.6648 -2.2011
Ni -5.0446 1.0056 -6.4411
Ni -2.9199 0.5379 -3.9998
Ni -5.6152 3.5762 -6.3118
Ni -8.5765 3.8042 -7.6798
Rh 0.0000 0.0000 0.0000
B -3.3425 -0.6262 -0.4995
B -1.2301 -0.0209 -3.2094
B -2.0428 2.5697 -1.0185
Tb -5.3680 1.5601 -3.8361
Tb -7.8627 2.2851 -5.6188
```

For the energy relative to the elements, the calculation gives -0.275 eV/f.u. The calculation puts the total DFT energy (no corrections) at -5.91 eV/atom. Its space-group type is No. 166. The density of states at the Fermi level comes out at 14.937 states/eV per cell. The value obtained for the volume is 13.05 Å³/atom.

Entry from Alexandria via LeMat-Bulk: a geometry-optimized Th3NiB2Rh9 structure (PBE).

The structure in extended XYZ format:
```
15
Lattice="-5.8492 0.0817 -1.2654 3.8337 -2.6723 -3.7393 -0.9560 -6.9291 3.9718" Properties=species:S:1:pos:R:3 pbc="T T T"
Rh 0.0242 -2.9769 -0.3039
Rh -2.0137 -5.2807 1.7093
Rh -1.0077 -1.2953 -2.5023
Rh -0.9578 -4.2391 -2.7422
Rh 1.9168 -1.3362 -1.8696
Rh -2.9957 -6.5429 -0.7289
Rh -4.8634 -5.2409 1.0928
Rh -2.9246 0.0408 -0.6327
Rh 1.8919 -4.2789 -2.1257
Th -2.9551 -3.2539 -0.7042
Th 0.0000 0.0000 0.0000
Th -0.0164 -6.2658 -0.3286
Ni -0.4780 -3.4646 1.9859
B -3.4339 -6.7246 1.2852
B 0.4625 -2.7952 -2.3180
```

For the energy relative to the elements, the calculation gives -10.092 eV/f.u. The calculation puts the total DFT energy (no corrections) at -7.84 eV/atom. Its space-group type is No. 164. The density of states at the Fermi level comes out at 15.203 states/eV per cell. The value obtained for the volume is 16.64 Å³/atom.

Entry from Alexandria via LeMat-Bulk: a geometry-optimized TlNiBRh2 structure (PBE).

The structure in extended XYZ format:
```
5
Lattice="-2.2607 -0.1122 3.5106 3.0011 -2.2308 1.8613 1.7419 3.3692 1.2295" Properties=species:S:1:pos:R:3 pbc="T T T"
B 0.0000 0.0000 0.0000
Tl 1.2411 0.5130 3.3007
Rh 1.5005 -1.1154 0.9306
Rh -1.1304 -0.0561 1.7553
Ni 0.8710 1.6846 0.6147
```

For the energy relative to the elements, the calculation gives -0.775 eV/f.u. The calculation puts the total DFT energy (no corrections) at -6.06 eV/atom. Its space-group type is No. 123. The density of states at the Fermi level comes out at 1.238 states/eV per cell. The value obtained for the volume is 13.91 Å³/atom.

Entry from Alexandria via LeMat-Bulk: a geometry-optimized Tm2NiB2Rh5 structure (PBE).

The structure in extended XYZ format:
```
20
Lattice="-2.2458 -1.8609 1.2858 6.0766 -2.8123 6.5431 -2.6854 7.0614 5.5291" Properties=species:S:1:pos:R:3 pbc="T T T"
B 1.4485 4.4205 8.9274
B 1.9426 -0.1715 3.1447
B -0.9187 4.0620 4.2741
B 4.3098 0.1870 7.7980
Rh 0.0119 -1.0478 2.4550
Rh 2.0839 0.0868 7.7160
Rh -0.9386 2.3014 5.6420
Rh 1.9154 -2.3366 3.9145
Rh 0.4139 2.5344 8.3414
Rh 1.1335 3.4359 10.9029
Rh -2.4656 2.6002 3.4075
Rh -2.7977 4.3964 5.4268
Rh 3.9430 -2.0082 7.9311
Rh 0.7314 -0.1462 5.0166
Tm -0.2439 4.9075 6.6761
Tm 3.6351 -0.6584 5.3960
Tm 3.1919 2.4560 9.1292
Tm 0.1992 1.7931 2.9430
Ni 0.0000 0.0000 0.0000
Ni 1.6956 2.1245 6.0361
```

For the energy relative to the elements, the calculation gives -6.737 eV/f.u. The calculation puts the total DFT energy (no corrections) at -7.16 eV/atom. Its space-group type is No. 127. The density of states at the Fermi level comes out at 16.754 states/eV per cell. The value obtained for the volume is 13.97 Å³/atom.

Entry from Alexandria via LeMat-Bulk: a geometry-optimized Y2NiB2Rh5 structure (PBE).

The structure in extended XYZ format:
```
20
Lattice="3.2100 0.0000 0.0000 0.0000 9.4385 0.0000 0.0000 0.0000 9.4385" Properties=species:S:1:pos:R:3 pbc="T T T"
Ni 0.0000 4.7193 4.7193
Ni 0.0000 0.0000 0.0000
Y 0.0000 3.0545 7.7737
Y 0.0000 1.6648 3.0545
Y 0.0000 6.3840 1.6648
Y 0.0000 7.7737 6.3840
Rh 1.6050 4.0622 2.6527
Rh 1.6050 2.0666 0.6571
Rh 1.6050 2.6527 5.3764
Rh 1.6050 0.0000 4.7193
Rh 1.6050 4.7193 0.0000
Rh 1.6050 6.7858 4.0622
Rh 1.6050 7.3719 8.7814
Rh 1.6050 8.7814 2.0666
Rh 1.6050 0.6571 7.3719
Rh 1.6050 5.3764 6.7858
B 0.0000 8.2639 3.5446
B 0.0000 5.8939 8.2639
B 0.0000 3.5446 1.1746
B 0.0000 1.1746 5.8939
```

For the energy relative to the elements, the calculation gives -6.050 eV/f.u. The calculation puts the total DFT energy (no corrections) at -7.49 eV/atom. Its space-group type is No. 127. The density of states at the Fermi level comes out at 15.951 states/eV per cell. The value obtained for the volume is 14.30 Å³/atom.

Entry from Alexandria via LeMat-Bulk: a geometry-optimized Zn3Ni4B2Rh3 structure (PBE).

The structure in extended XYZ format:
```
12
Lattice="-3.6659 0.7742 -0.7256 -1.1149 -2.5800 2.8796 2.6275 8.4404 5.7679" Properties=species:S:1:pos:R:3 pbc="T T T"
B -2.2108 5.0859 6.5121
B 0.0400 1.5525 1.4064
Rh -1.6509 6.4496 5.1392
Rh -0.5196 0.1888 2.7793
Rh -0.0086 0.0018 -0.0017
Zn 0.1415 4.7694 4.3279
Zn -2.3117 1.8688 3.5907
Zn -2.3986 -0.9011 1.0754
Ni 0.0858 2.9770 2.7004
Ni -0.3757 4.7676 6.9374
Ni -2.2547 3.6610 5.2185
Ni -1.7951 1.8708 0.9811
```

For the energy relative to the elements, the calculation gives -1.288 eV/f.u. The calculation puts the total DFT energy (no corrections) at -5.30 eV/atom. Its space-group type is No. 71. The density of states at the Fermi level comes out at 12.679 states/eV per cell. The value obtained for the volume is 13.03 Å³/atom.

Entry from Alexandria via LeMat-Bulk: a geometry-optimized Zr2Ni2BRh4 structure (PBE).

The structure in extended XYZ format:
```
9
Lattice="5.5928 0.0074 0.0107 -2.6782 4.9099 -0.0107 -2.6782 -1.7351 4.5932" Properties=species:S:1:pos:R:3 pbc="T T T"
Ni -3.9753 2.3563 3.4010
Ni -1.3810 0.8186 1.1815
Rh -2.6782 3.2029 1.1720
Rh 1.4976 0.8194 1.1827
Rh -1.2610 2.3629 3.4104
Rh -2.6782 -0.0280 3.4104
B 0.0000 0.0000 0.0000
Zr 0.1183 -0.0701 3.4476
Zr 0.1183 3.2524 1.1456
```

For the energy relative to the elements, the calculation gives -6.671 eV/f.u. The calculation puts the total DFT energy (no corrections) at -7.93 eV/atom. Its space-group type is No. 139. The density of states at the Fermi level comes out at 7.860 states/eV per cell. The value obtained for the volume is 14.03 Å³/atom.

Entry from Alexandria via LeMat-Bulk: a geometry-optimized ZrNi2BRh structure (PBE).

The structure in extended XYZ format:
```
5
Lattice="3.9307 0.0000 0.0000 0.0000 3.9307 0.0000 0.0000 0.0000 4.1130" Properties=species:S:1:pos:R:3 pbc="T T T"
Zr 1.9653 1.9653 2.0565
Ni 1.9653 0.0000 0.0000
Ni 0.0000 1.9653 0.0000
Rh 0.0000 0.0000 2.0565
B 0.0000 0.0000 0.0000
```

For the energy relative to the elements, the calculation gives -2.030 eV/f.u. The calculation puts the total DFT energy (no corrections) at -7.23 eV/atom. Its space-group type is No. 123. The density of states at the Fermi level comes out at 5.602 states/eV per cell. The value obtained for the volume is 12.71 Å³/atom.

Entry from Alexandria via LeMat-Bulk: a geometry-optimized Ni2BRu structure (PBE).

The structure in extended XYZ format:
```
4
Lattice="3.5446 0.0000 0.0000 1.7723 3.0697 0.0000 1.7723 1.0232 4.0945" Properties=species:S:1:pos:R:3 pbc="T T T"
Ni 1.7723 1.0232 1.4502
Ni 5.3169 3.0697 2.6443
B 3.5446 2.0465 2.0473
Ru 0.0000 0.0000 0.0000
```

For the energy relative to the elements, the calculation gives 1.575 eV/f.u. The calculation puts the total DFT energy (no corrections) at -6.49 eV/atom. Its space-group type is No. 166. The density of states at the Fermi level comes out at 4.511 states/eV per cell. The value obtained for the volume is 11.14 Å³/atom.

Entry from Alexandria via LeMat-Bulk: a geometry-optimized Ni3B2Ru structure (PBE).

The structure in extended XYZ format:
```
12
Lattice="2.7775 0.0000 -0.5666 -0.4293 5.9338 -2.1046 -0.0180 0.0115 7.0031" Properties=species:S:1:pos:R:3 pbc="T T T"
Ru 1.9332 4.1014 2.3859
Ru 0.3970 1.8438 1.9461
Ni 0.9137 2.7948 4.4795
Ni 2.6297 1.1323 5.8001
Ni 0.8657 0.3510 4.2439
Ni 1.4165 3.1504 -0.1475
Ni 1.4645 5.5942 0.0880
Ni -0.2995 4.8129 -1.4682
B 1.5351 0.5915 0.4340
B 2.1243 1.6560 3.3225
B 0.2059 4.2892 1.0094
B 0.7951 5.3537 3.8980
```

For the energy relative to the elements, the calculation gives -1.236 eV/f.u. The calculation puts the total DFT energy (no corrections) at -6.87 eV/atom. Its space-group type is No. 12. The density of states at the Fermi level comes out at 8.738 states/eV per cell. The value obtained for the volume is 9.62 Å³/atom.

Entry from Alexandria via LeMat-Bulk: a geometry-optimized Ni3BRu structure (PBE).

The structure in extended XYZ format:
```
5
Lattice="4.4476 0.0000 0.0000 0.0000 4.4476 0.0000 0.0000 0.0000 4.4476" Properties=species:S:1:pos:R:3 pbc="T T T"
B 2.2238 2.2238 2.2238
Ni 0.0000 2.2238 0.0000
Ni 2.2238 0.0000 0.0000
Ni 0.0000 0.0000 2.2238
Ru 0.0000 0.0000 0.0000
```

As for the excess energy over the best structure of this formula in the dataset: 1.861 eV per atom. For the energy relative to the elements, the calculation gives 10.625 eV/f.u. The calculation puts the total DFT energy (no corrections) at -4.53 eV/atom. Its space-group type is No. 221. The density of states at the Fermi level comes out at 7.055 states/eV per cell. The value obtained for the volume is 17.60 Å³/atom.

Entry from Alexandria via LeMat-Bulk: a geometry-optimized Ni3BRu structure (PBE).

The structure in extended XYZ format:
```
5
Lattice="-3.7715 -0.4044 0.3911 0.0236 -2.7623 -2.6287 0.5621 -2.5976 2.7345" Properties=species:S:1:pos:R:3 pbc="T T T"
Ni 0.0118 -1.3811 -1.3144
Ni -1.8858 -0.2022 0.1956
Ni 0.2811 -1.2988 1.3673
Ru -1.5929 -2.8821 0.2485
B 0.0000 0.0000 0.0000
```

As for the excess energy over the best structure of this formula in the dataset: 0.000 eV per atom. For the energy relative to the elements, the calculation gives 1.317 eV/f.u. The calculation puts the total DFT energy (no corrections) at -6.40 eV/atom. Its space-group type is No. 221. The density of states at the Fermi level comes out at 6.663 states/eV per cell. The value obtained for the volume is 11.09 Å³/atom.